i.
## Sc3MnAl (PBE)

Data for Sc3MnAl after structural relaxation.

Calculated values
* DOS(E_F): 11.508 states/eV/f.u.

Lattice parameters (Å, degrees): 5.048 5.048 5.048 90.00 90.00 90.00
Element x y z (fractional)
Sc  0.000  0.000  0.500
Sc  0.000  0.500  0.000
Sc  0.500  0.000  0.000
Mn  0.500  0.500  0.500
Al  0.000  0.000  0.000



ii.
## Sc3MnAl (PBE)

Data for Sc3MnAl after structural relaxation.

Calculated values
* DOS(E_F): 7.327 states/eV/f.u.

Lattice parameters (Å, degrees): 4.794 4.794 4.794 90.00 90.00 90.00
Element x y z (fractional)
Sc  0.000  0.000  0.500
Sc  0.000  0.500  0.000
Sc  0.500  0.000  0.000
Mn  0.000  0.000  0.000
Al  0.500  0.500  0.500



Most stable: ii (next structure +889 meV/atom)



i.
## ScMnAl4 (PBE)

Data for ScMnAl4 after structural relaxation.

Calculated values
* DOS(E_F): 3.391 states/eV/f.u.

Lattice parameters (Å, degrees): 5.248 5.248 5.248 60.00 60.00 60.00
Element x y z (fractional)
Sc  0.000  0.000  0.000
Mn  0.750  0.750  0.750
Al  0.375  0.375  0.375
Al  0.375  0.375  0.876
Al  0.375  0.876  0.375
Al  0.876  0.375  0.375



ii.
## ScMnAl4 (PBE)

Data for ScMnAl4 after structural relaxation.

Calculated values
* DOS(E_F): 5.195 states/eV/f.u.

Lattice parameters (Å, degrees): 7.329 7.329 7.329 130.67 130.67 72.34
Element x y z (fractional)
Sc  0.000  0.000  0.000
Sc  0.500  0.500  0.000
Mn  0.250  0.250  0.000
Mn  0.750  0.750  0.000
Al  0.060  0.560  0.911
Al  0.148  0.060  0.500
Al  0.352  0.852  0.911
Al  0.440  0.352  0.500
Al  0.560  0.648  0.500
Al  0.648  0.148  0.089
Al  0.852  0.940  0.500
Al  0.940  0.440  0.089



Most stable: i (next structure +43 meV/atom)



i.
## MnAlSe3 (PBE)

Data for MnAlSe3 after structural relaxation.

Calculated values
* DOS(E_F): 0.647 states/eV/f.u.

Lattice parameters (Å, degrees): 7.962 7.343 8.799 90.00 110.45 90.00
Element x y z (fractional)
Mn  0.206  0.149  0.100
Mn  0.206  0.351  0.600
Mn  0.794  0.649  0.400
Mn  0.794  0.851  0.900
Al  0.408  0.693  0.027
Al  0.408  0.807  0.527
Al  0.592  0.193  0.473
Al  0.592  0.307  0.973
Se  0.122  0.637  0.443
Se  0.122  0.863  0.943
Se  0.265  0.107  0.406
Se  0.265  0.393  0.906
Se  0.462  0.599  0.314
Se  0.462  0.901  0.814
Se  0.538  0.099  0.186
Se  0.538  0.401  0.686
Se  0.735  0.607  0.094
Se  0.735  0.893  0.594
Se  0.878  0.137  0.057
Se  0.878  0.363  0.557



ii.
## MnAlSe3 (PBE)

Data for MnAlSe3 after structural relaxation.

Calculated values
* DOS(E_F): 0.000 states/eV/f.u.

Lattice parameters (Å, degrees): 6.861 7.205 12.248 90.00 123.71 90.00
Element x y z (fractional)
Mn  0.067  0.245  0.496
Mn  0.067  0.255  0.996
Mn  0.933  0.745  0.004
Mn  0.933  0.755  0.504
Al  0.451  0.016  0.362
Al  0.451  0.484  0.862
Al  0.549  0.516  0.138
Al  0.549  0.984  0.638
Se  0.078  0.023  0.153
Se  0.078  0.477  0.653
Se  0.222  0.512  0.164
Se  0.222  0.988  0.664
Se  0.461  0.244  0.004
Se  0.461  0.256  0.504
Se  0.539  0.744  0.496
Se  0.539  0.756  0.996
Se  0.778  0.012  0.336
Se  0.778  0.488  0.836
Se  0.922  0.523  0.347
Se  0.922  0.977  0.847



iii.
## MnAlSe3 (PBE)

Data for MnAlSe3 after structural relaxation.

Calculated values
* DOS(E_F): 0.892 states/eV/f.u.

Lattice parameters (Å, degrees): 7.002 7.002 7.002 56.13 56.13 56.13
Element x y z (fractional)
Mn  0.000  0.000  0.000
Mn  0.500  0.500  0.500
Al  0.250  0.250  0.250
Al  0.750  0.750  0.750
Se  0.111  0.750  0.389
Se  0.250  0.611  0.889
Se  0.389  0.111  0.750
Se  0.611  0.889  0.250
Se  0.750  0.389  0.111
Se  0.889  0.250  0.611



Most stable: ii (next structure +114 meV/atom)



i.
## MnAlSe3 (PBE)

Data for MnAlSe3 after structural relaxation.

Calculated values
* DOS(E_F): 1.542 states/eV/f.u.

Lattice parameters (Å, degrees): 3.667 7.016 10.549 90.00 99.87 90.00
Element x y z (fractional)
Mn  0.075  0.250  0.153
Mn  0.925  0.750  0.847
Al  0.383  0.250  0.762
Al  0.617  0.750  0.238
Se  0.149  0.520  0.301
Se  0.149  0.980  0.301
Se  0.499  0.750  0.997
Se  0.501  0.250  0.003
Se  0.851  0.020  0.699
Se  0.851  0.480  0.699



ii.
## MnAlSe3 (PBE)

Data for MnAlSe3 after structural relaxation.

Calculated values
* DOS(E_F): 1.361 states/eV/f.u.

Lattice parameters (Å, degrees): 6.482 6.604 6.623 90.00 116.33 90.00
Element x y z (fractional)
Mn  0.129  0.250  0.152
Mn  0.871  0.750  0.848
Al  0.492  0.250  0.856
Al  0.508  0.750  0.144
Se  0.207  0.501  0.897
Se  0.207  0.999  0.897
Se  0.497  0.750  0.500
Se  0.503  0.250  0.500
Se  0.793  0.001  0.103
Se  0.793  0.499  0.103



Most stable: i (next structure +25 meV/atom)



i.
## MnAlSe3 (PBE)

Data for MnAlSe3 after structural relaxation.

Calculated values
* DOS(E_F): 1.868 states/eV/f.u.

Lattice parameters (Å, degrees): 3.766 6.610 9.687 83.04 82.07 89.38
Element x y z (fractional)
Mn  0.000  0.000  0.000
Mn  0.494  0.494  0.994
Al  0.199  0.705  0.591
Al  0.758  0.558  0.346
Se  0.073  0.688  0.841
Se  0.222  0.390  0.487
Se  0.469  0.790  0.141
Se  0.542  0.191  0.866
Se  0.740  0.880  0.472
Se  0.915  0.337  0.154



ii.
## MnAlSe3 (PBE)

Data for MnAlSe3 after structural relaxation.

Calculated values
* DOS(E_F): 2.224 states/eV/f.u.

Lattice parameters (Å, degrees): 7.202 7.202 7.737 90.00 90.00 137.75
Element x y z (fractional)
Mn  0.098  0.902  0.750
Mn  0.902  0.098  0.250
Al  0.418  0.582  0.250
Al  0.582  0.418  0.750
Se  0.000  0.000  0.000
Se  0.000  0.000  0.500
Se  0.000  0.497  0.250
Se  0.000  0.503  0.750
Se  0.497  0.000  0.750
Se  0.503  0.000  0.250



Most stable: i (next structure +639 meV/atom)



i.
## MnAlSe3 (PBE)

Data for MnAlSe3 after structural relaxation.

Calculated values
* DOS(E_F): 0.000 states/eV/f.u.

Lattice parameters (Å, degrees): 6.217 3.640 8.799 90.00 105.15 90.00
Element x y z (fractional)
Mn  0.205  0.250  0.017
Mn  0.795  0.750  0.983
Al  0.373  0.250  0.344
Al  0.627  0.750  0.656
Se  0.058  0.750  0.838
Se  0.239  0.750  0.485
Se  0.466  0.750  0.139
Se  0.534  0.250  0.861
Se  0.761  0.250  0.515
Se  0.942  0.250  0.162



ii.
## MnAlSe3 (PBE)

Data for MnAlSe3 after structural relaxation.

Calculated values
* DOS(E_F): 1.626 states/eV/f.u.

Lattice parameters (Å, degrees): 8.442 8.442 6.553 98.84 98.84 85.63
Element x y z (fractional)
Mn  0.098  0.902  0.750
Mn  0.259  0.741  0.250
Mn  0.741  0.259  0.750
Mn  0.902  0.098  0.250
Al  0.224  0.404  0.703
Al  0.404  0.224  0.203
Al  0.596  0.776  0.797
Al  0.776  0.596  0.297
Se  0.027  0.192  0.622
Se  0.106  0.640  0.895
Se  0.192  0.027  0.122
Se  0.283  0.462  0.378
Se  0.360  0.894  0.605
Se  0.462  0.283  0.878
Se  0.538  0.717  0.122
Se  0.640  0.106  0.395
Se  0.717  0.538  0.622
Se  0.808  0.973  0.878
Se  0.894  0.360  0.105
Se  0.973  0.808  0.378



Most stable: ii (next structure +85 meV/atom)



i.
## MnAl3Se (PBE)

Data for MnAl3Se after structural relaxation.

Calculated values
* DOS(E_F): 4.932 states/eV/f.u.

Lattice parameters (Å, degrees): 4.721 4.721 4.721 90.00 90.00 90.00
Element x y z (fractional)
Mn  0.000  0.000  0.000
Al  0.000  0.000  0.500
Al  0.000  0.500  0.000
Al  0.500  0.000  0.000
Se  0.500  0.500  0.500



ii.
## MnAl3Se (PBE)

Data for MnAl3Se after structural relaxation.

Calculated values
* DOS(E_F): 8.056 states/eV/f.u.

Lattice parameters (Å, degrees): 4.851 4.851 4.851 90.00 90.00 90.00
Element x y z (fractional)
Mn  0.000  0.000  0.000
Al  0.000  0.500  0.500
Al  0.500  0.000  0.500
Al  0.500  0.500  0.000
Se  0.500  0.500  0.500



Most stable: i (next structure +912 meV/atom)



i.
## MnAl3Si (PBE)

Data for MnAl3Si after structural relaxation.

Calculated values
* DOS(E_F): 0.050 states/eV/f.u.

Lattice parameters (Å, degrees): 4.530 4.530 4.530 90.00 90.00 90.00
Element x y z (fractional)
Mn  0.000  0.000  0.000
Al  0.000  0.000  0.500
Al  0.000  0.500  0.000
Al  0.500  0.000  0.000
Si  0.500  0.500  0.500



ii.
## MnAl3Si (PBE)

Data for MnAl3Si after structural relaxation.

Calculated values
* DOS(E_F): 6.790 states/eV/f.u.

Lattice parameters (Å, degrees): 4.663 4.663 4.663 90.00 90.00 90.00
Element x y z (fractional)
Mn  0.000  0.000  0.000
Al  0.000  0.500  0.500
Al  0.500  0.000  0.500
Al  0.500  0.500  0.000
Si  0.500  0.500  0.500



Most stable: i (next structure +694 meV/atom)



i.
## Sr2MnAl2 (PBE)

Data for Sr2MnAl2 after structural relaxation.

Calculated values
* DOS(E_F): 6.838 states/eV/f.u.

Lattice parameters (Å, degrees): 4.497 4.497 13.999 90.00 90.00 90.00
Element x y z (fractional)
Sr  0.000  0.500  0.250
Sr  0.000  0.500  0.750
Sr  0.500  0.000  0.250
Sr  0.500  0.000  0.750
Mn  0.000  0.000  0.000
Mn  0.500  0.500  0.500
Al  0.000  0.000  0.413
Al  0.000  0.000  0.587
Al  0.500  0.500  0.087
Al  0.500  0.500  0.913



ii.
## Sr2MnAl2 (PBE)

Data for Sr2MnAl2 after structural relaxation.

Calculated values
* DOS(E_F): 9.495 states/eV/f.u.

Lattice parameters (Å, degrees): 6.901 6.901 5.347 90.00 90.00 90.00
Element x y z (fractional)
Sr  0.174  0.326  0.000
Sr  0.326  0.826  0.000
Sr  0.674  0.174  0.000
Sr  0.826  0.674  0.000
Mn  0.000  0.000  0.500
Mn  0.500  0.500  0.500
Al  0.157  0.657  0.500
Al  0.343  0.157  0.500
Al  0.657  0.843  0.500
Al  0.843  0.343  0.500



Most stable: ii (next structure +688 meV/atom)



i.
## TaMnAl (PBE)

Data for TaMnAl after structural relaxation.

Calculated values
* DOS(E_F): 2.827 states/eV/f.u.

Lattice parameters (Å, degrees): 4.834 5.055 7.000 90.00 90.00 90.00
Element x y z (fractional)
Ta  0.000  0.250  0.126
Ta  0.000  0.750  0.874
Ta  0.500  0.250  0.374
Ta  0.500  0.750  0.626
Mn  0.250  0.250  0.750
Mn  0.250  0.750  0.250
Mn  0.750  0.250  0.750
Mn  0.750  0.750  0.250
Al  0.000  0.000  0.500
Al  0.000  0.500  0.500
Al  0.500  0.000  0.000
Al  0.500  0.500  0.000



ii.
## TaMnAl (PBE)

Data for TaMnAl after structural relaxation.

Calculated values
* DOS(E_F): 1.839 states/eV/f.u.

Lattice parameters (Å, degrees): 4.293 4.293 2.788 90.00 90.00 120.00
Element x y z (fractional)
Ta  0.000  0.000  0.000
Mn  0.333  0.667  0.707
Al  0.667  0.333  0.454



iii.
## TaMnAl (PBE)

Data for TaMnAl after structural relaxation.

Calculated values
* DOS(E_F): 2.824 states/eV/f.u.

Lattice parameters (Å, degrees): 3.090 3.090 9.213 90.00 90.00 90.00
Element x y z (fractional)
Ta  0.000  0.000  0.000
Ta  0.500  0.500  0.500
Mn  0.000  0.000  0.648
Mn  0.500  0.500  0.148
Al  0.000  0.000  0.304
Al  0.500  0.500  0.804



Most stable: i (next structure +106 meV/atom)